Tm2AlSi3Ni4 (GGA-PBE, relaxed); SG = P-4m2; formation energy from raw total energies = -0.8163 eV/atom
1.0
3.934 0.000 0.000
0.000 3.934 0.000
0.000 0.000 9.654
Ni Si Al Tm
4 3 1 2
Direct
0.000 0.500 0.362
0.000 0.000 0.000
0.500 0.500 0.000
0.500 0.000 0.638
0.500 0.000 0.873
0.000 0.000 0.500
0.000 0.500 0.127
0.500 0.500 0.500
0.500 0.000 0.246
0.000 0.500 0.754



TmAlSi2Ni5 (GGA-PBE, relaxed); SG = P4/mmm; formation energy from raw total energies = -0.3261 eV/atom
1.0
-2.151 0.210 -3.392
-1.455 -3.685 0.694
-5.900 3.070 3.932
Ni Tm Si Al
5 1 2 1
Direct
0.500 0.000 0.735
0.500 0.500 0.500
0.500 0.000 0.265
0.000 0.500 0.735
0.000 0.500 0.265
0.000 0.000 0.500
0.500 0.500 0.146
0.500 0.500 0.854
0.000 0.000 0.000



TmAl2SiNi4 (GGA-PBE, relaxed); SG = R-3m; formation energy from raw total energies = -0.5775 eV/atom
1.0
-1.357 -2.671 -2.673
1.979 -3.445 -0.578
-4.213 -5.543 4.662
Ni Al Si Tm
4 2 1 1
Direct
0.864 0.864 0.408
0.594 0.594 0.219
0.406 0.406 0.781
0.136 0.136 0.592
0.757 0.757 0.728
0.243 0.243 0.272
0.500 0.500 0.500
0.000 0.000 0.000



Tm2Al2SiNi5 (GGA-PBE, relaxed); SG = P4/mbm; formation energy from raw total energies = -0.4373 eV/atom
1.0
-2.353 0.141 1.692
-4.951 -5.947 -6.391
3.159 -8.069 5.063
Si Ni Al Tm
2 10 4 4
Direct
0.000 0.500 0.500
0.000 0.000 0.000
0.500 0.000 0.500
0.500 0.317 0.553
0.500 0.053 0.817
0.500 0.447 0.317
0.500 0.947 0.183
0.500 0.183 0.053
0.500 0.500 0.000
0.500 0.683 0.447
0.500 0.817 0.947
0.500 0.553 0.683
0.000 0.131 0.631
0.000 0.369 0.131
0.000 0.631 0.869
0.000 0.869 0.369
0.000 0.828 0.672
0.000 0.328 0.828
0.000 0.172 0.328
0.000 0.672 0.172



TmAl2SiNi2 (GGA-PBE, relaxed); SG = P4/mmm; formation energy from raw total energies = -0.4069 eV/atom
1.0
-3.490 -0.702 2.350
1.621 -3.728 1.294
2.356 2.498 4.245
Ni Al Si Tm
2 2 1 1
Direct
0.000 0.500 0.000
0.500 0.000 0.000
0.500 0.500 0.741
0.500 0.500 0.259
0.000 0.000 0.000
0.000 0.000 0.500



Tm3Al2SiNi9 (GGA-PBE, relaxed); SG = P-3m1; formation energy from raw total energies = -0.1893 eV/atom
1.0
-3.872 -4.131 -1.960
5.819 -0.469 -1.349
1.201 -4.293 6.675
Ni Si Tm Al
9 1 3 2
Direct
0.500 0.500 0.000
0.134 0.866 0.284
0.866 0.134 0.716
0.500 0.000 0.000
0.000 0.500 0.000
0.866 0.733 0.716
0.267 0.134 0.716
0.134 0.267 0.284
0.733 0.866 0.284
0.000 0.000 0.500
0.333 0.667 0.695
0.000 0.000 0.000
0.667 0.333 0.305
0.333 0.667 0.194
0.667 0.333 0.806



Y2AlSi4Ni3 (GGA-PBE, relaxed); SG = P-4m2; formation energy from raw total energies = -0.7967 eV/atom
1.0
-1.468 -1.541 3.314
1.833 -3.400 -0.769
8.033 3.189 5.042
Y Si Ni Al
2 4 3 1
Direct
0.000 0.500 0.760
0.500 0.000 0.240
0.000 0.500 0.351
0.500 0.000 0.649
0.500 0.500 0.000
0.000 0.000 0.000
0.500 0.000 0.878
0.000 0.000 0.500
0.000 0.500 0.122
0.500 0.500 0.500



YAlSi2Ni4 (GGA-PBE, relaxed); SG = R-3m; formation energy from raw total energies = -0.6081 eV/atom
1.0
-2.557 -2.902 0.774
-0.093 -3.210 -2.291
4.700 -5.663 4.347
Ni Al Si Y
4 1 2 1
Direct
0.867 0.867 0.398
0.407 0.407 0.778
0.593 0.593 0.222
0.133 0.133 0.602
0.500 0.500 0.500
0.243 0.243 0.270
0.757 0.757 0.730
0.000 0.000 0.000



YAl2SiNi2 (GGA-PBE, relaxed); SG = P4/mmm; formation energy from raw total energies = -0.4455 eV/atom
1.0
-3.422 -1.098 2.315
0.819 -4.129 -0.747
3.132 -0.199 4.534
Al Ni Si Y
2 2 1 1
Direct
0.500 0.500 0.743
0.500 0.500 0.257
0.500 0.000 0.000
0.000 0.500 0.000
0.000 0.000 0.000
0.000 0.000 0.500



Y2AlSi3Ni4 (GGA-PBE, relaxed); SG = P-4m2; formation energy from raw total energies = -0.8200 eV/atom
1.0
3.976 0.000 0.000
0.000 3.976 0.000
0.000 0.000 9.659
Ni Y Si Al
4 2 3 1
Direct
0.500 0.500 0.000
0.000 0.000 0.000
0.500 0.000 0.636
0.000 0.500 0.364
0.500 0.000 0.246
0.000 0.500 0.754
0.500 0.000 0.874
0.000 0.000 0.500
0.000 0.500 0.126
0.500 0.500 0.500



Y2AlSiNi6 (GGA-PBE, relaxed); SG = P-1; formation energy from raw total energies = -0.4529 eV/atom
1.0
-4.593 4.253 0.501
-0.229 -2.140 5.699
-0.619 5.362 3.207
Y Ni Si Al
2 6 1 1
Direct
0.251 0.794 0.458
0.749 0.206 0.542
0.761 0.254 0.006
0.261 0.254 0.507
0.739 0.746 0.493
0.750 0.588 0.162
0.239 0.746 0.994
0.250 0.412 0.838
0.000 0.000 0.000
0.500 0.500 0.000



Y2AlSi3Ni12 (GGA-PBE, relaxed); SG = R-3m; formation energy from raw total energies = -0.2189 eV/atom
1.0
6.040 -1.353 -0.960
1.806 5.920 -0.960
1.806 1.052 5.904
Si Ni Y Al
3 12 2 1
Direct
0.000 0.500 0.000
0.000 0.000 0.500
0.500 0.000 0.000
0.185 0.707 0.185
0.293 0.815 0.815
0.615 0.098 0.615
0.385 0.385 0.902
0.615 0.615 0.098
0.902 0.385 0.385
0.707 0.185 0.185
0.815 0.815 0.293
0.098 0.615 0.615
0.385 0.902 0.385
0.185 0.185 0.707
0.815 0.293 0.815
0.655 0.655 0.655
0.345 0.345 0.345
0.000 0.000 0.000



Y3AlSi2Ni9 (GGA-PBE, relaxed); SG = P-3m1; formation energy from raw total energies = -0.3092 eV/atom
1.0
-3.200 4.546 1.714
-2.606 -4.910 -1.716
0.178 -2.889 7.996
Si Ni Y Al
2 9 3 1
Direct
0.333 0.667 0.176
0.667 0.333 0.824
0.500 0.000 0.000
0.861 0.721 0.720
0.500 0.500 0.000
0.721 0.861 0.280
0.139 0.279 0.280
0.139 0.861 0.280
0.279 0.139 0.720
0.000 0.500 0.000
0.861 0.139 0.720
0.333 0.667 0.673
0.667 0.333 0.327
0.000 0.000 0.000
0.000 0.000 0.500



Al2ZnSi2Ni5 (GGA-PBE, relaxed); SG = P4/mbm; formation energy from raw total energies = -0.3322 eV/atom
1.0
3.407 0.000 0.000
0.000 8.565 0.000
0.000 0.000 8.565
Si Ni Zn Al
4 10 2 4
Direct
0.000 0.627 0.873
0.000 0.127 0.627
0.000 0.873 0.373
0.000 0.373 0.127
0.500 0.924 0.204
0.500 0.704 0.424
0.500 0.076 0.796
0.500 0.424 0.296
0.500 0.796 0.924
0.500 0.000 0.500
0.500 0.500 0.000
0.500 0.296 0.576
0.500 0.576 0.704
0.500 0.204 0.076
0.000 0.500 0.500
0.000 0.000 0.000
0.000 0.172 0.328
0.000 0.328 0.828
0.000 0.828 0.672
0.000 0.672 0.172



Zr2AlSi3Ni4 (GGA-PBE, relaxed); SG = P-4m2; formation energy from raw total energies = -0.7805 eV/atom
1.0
-0.676 0.436 3.760
3.684 -0.802 0.755
2.157 9.262 -0.688
Ni Si Zr Al
4 3 2 1
Direct
0.500 0.000 0.636
0.000 0.500 0.364
0.500 0.500 0.000
0.000 0.000 0.000
0.500 0.000 0.867
0.000 0.500 0.133
0.000 0.000 0.500
0.500 0.000 0.244
0.000 0.500 0.756
0.500 0.500 0.500



Sm2Al8Ni (GGA-PBE, relaxed); SG = P4/mmm; E_form = -430.6 meV per atom
1.0
4.276 0.000 0.000
0.000 4.276 0.000
0.000 0.000 11.237
Sm Al Ni
2 8 1
Direct
0.000 0.000 0.693
0.000 0.000 0.307
0.000 0.500 0.882
0.000 0.500 0.118
0.500 0.000 0.500
0.500 0.500 0.302
0.500 0.000 0.118
0.000 0.500 0.500
0.500 0.500 0.698
0.500 0.000 0.882
0.000 0.000 0.000



Sm4Al23Ni6 (GGA-PBE, relaxed); SG = C2/m; E_form = -519.4 meV per atom
1.0
8.267 0.006 -0.009
7.241 3.990 -0.009
6.975 1.797 16.813
Al Sm Ni
23 4 6
Direct
0.469 0.469 0.782
0.082 0.082 0.313
0.391 0.391 0.160
0.798 0.798 0.521
0.910 0.910 0.048
0.918 0.918 0.687
0.568 0.568 0.060
0.143 0.143 0.142
0.256 0.256 0.954
0.000 0.000 0.500
0.432 0.432 0.940
0.857 0.857 0.858
0.744 0.744 0.046
0.276 0.276 0.324
0.624 0.624 0.405
0.724 0.724 0.676
0.090 0.090 0.952
0.202 0.202 0.479
0.376 0.376 0.595
0.609 0.609 0.840
0.090 0.090 0.721
0.531 0.531 0.218
0.910 0.910 0.279
0.571 0.571 0.594
0.429 0.429 0.406
0.734 0.734 0.218
0.266 0.266 0.782
0.773 0.773 0.398
0.690 0.690 0.933
0.993 0.993 0.134
0.007 0.007 0.866
0.227 0.227 0.602
0.310 0.310 0.067



SmAlNi (GGA-PBE, relaxed); SG = P-6m2; E_form = -435.1 meV per atom
1.0
3.857 0.000 0.000
0.000 4.278 0.000
0.000 -2.139 3.705
Al Sm Ni
1 1 1
Direct
0.167 0.000 0.000
0.667 0.333 0.667
0.167 0.667 0.333



Sm5AlNi2 (GGA-PBE, relaxed); SG = I4/mcm; E_form = -262.2 meV per atom
1.0
7.069 0.000 -3.337
-1.575 6.891 -3.337
-0.252 -0.316 8.623
Sm Ni Al
10 4 2
Direct
0.000 0.000 0.000
0.022 0.522 0.722
0.478 0.300 0.278
0.700 0.200 0.722
0.522 0.700 0.722
0.978 0.478 0.278
0.800 0.978 0.278
0.300 0.800 0.278
0.200 0.022 0.722
0.500 0.500 0.000
0.877 0.623 0.000
0.123 0.377 0.000
0.377 0.877 0.000
0.623 0.123 0.000
0.250 0.250 0.500
0.750 0.750 0.500



Sm3AlNi3 (GGA-PBE, relaxed); SG = Cmcm; E_form = -448.2 meV per atom
1.0
-3.593 -1.158 -1.603
3.199 -4.340 1.212
-5.342 -0.494 12.331
Sm Ni Al
6 6 2
Direct
0.216 0.432 0.896
0.784 0.568 0.396
0.216 0.432 0.604
0.501 0.003 0.250
0.784 0.568 0.104
0.499 0.997 0.750
0.073 0.146 0.412
0.927 0.854 0.588
0.200 0.400 0.250
0.927 0.854 0.912
0.800 0.600 0.750
0.073 0.146 0.088
0.500 0.000 0.500
0.500 0.000 0.000